{"formula": "NpB3Os3", "functional": "GGA-PBE", "state": "optimized geometry", "lattice": [[5.872, 0.000, 0.000], [0.000, 5.872, 0.000], [0.000, 0.000, 5.872]], "species": ["B", "B", "Os", "Os", "Os", "Np", "B", "Os", "B", "Os", "B", "Np", "Os", "B"], "fractional_positions": [[0.500, 0.250, 0.000], [0.500, 0.750, 0.000], [0.750, 0.500, 0.000], [0.250, 0.500, 0.000], [0.500, 0.000, 0.250], [0.500, 0.500, 0.500], [0.000, 0.500, 0.750], [0.000, 0.750, 0.500], [0.000, 0.500, 0.250], [0.500, 0.000, 0.750], [0.750, 0.000, 0.500], [0.000, 0.000, 0.000], [0.000, 0.250, 0.500], [0.250, 0.000, 0.500]], "spacegroup": "No. 223", "e_form_mev_per_atom": 226, "dos_ef_per_ev_cell": 29.14}

{"formula": "Ce4ZnRh4", "functional": "GGA-PBE", "state": "optimized geometry", "lattice": [[-0.750, -0.047, -5.279], [-6.468, -0.801, -1.768], [-1.153, 6.131, -2.584]], "species": ["Rh", "Rh", "Ce", "Ce", "Zn", "Ce", "Rh", "Rh", "Ce"], "fractional_positions": [[0.270, 0.640, 0.819], [0.090, 0.181, 0.640], [0.586, 0.208, 0.619], [0.205, 0.381, 0.208], [0.000, 0.000, 0.000], [0.414, 0.792, 0.381], [0.730, 0.360, 0.181], [0.910, 0.819, 0.360], [0.795, 0.619, 0.792]], "spacegroup": "No. 87", "e_form_mev_per_atom": -587, "dos_ef_per_ev_cell": 12.66}

{"formula": "Ca5Pb2N6", "functional": "GGA-PBE", "state": "optimized geometry", "lattice": [[-3.858, -4.264, 2.895], [-0.450, -6.187, -1.720], [10.679, -3.523, 9.353]], "species": ["N", "Ca", "N", "Ca", "Ca", "N", "Ca", "Ca", "Ca", "N", "Pb", "N", "N", "Ca", "N", "N", "N", "N", "Pb", "N", "N", "Ca", "Ca", "Ca", "Pb", "Pb"], "fractional_positions": [[0.071, 0.886, 0.851], [0.165, 0.602, 0.552], [0.649, 0.700, 0.318], [0.403, 0.597, 0.750], [0.925, 0.772, 0.217], [0.700, 0.649, 0.818], [0.602, 0.165, 0.052], [0.228, 0.075, 0.283], [0.772, 0.925, 0.717], [0.300, 0.351, 0.182], [0.667, 0.955, 0.415], [0.886, 0.071, 0.351], [0.256, 0.261, 0.948], [0.398, 0.835, 0.948], [0.351, 0.300, 0.682], [0.114, 0.929, 0.649], [0.261, 0.256, 0.448], [0.929, 0.114, 0.149], [0.045, 0.333, 0.085], [0.744, 0.739, 0.052], [0.739, 0.744, 0.552], [0.835, 0.398, 0.448], [0.075, 0.228, 0.783], [0.597, 0.403, 0.250], [0.955, 0.667, 0.915], [0.333, 0.045, 0.585]], "spacegroup": "No. 15", "formation_energy_uncorrected_ev_per_atom": -0.232}

Number 1: magnetization 3.4 μB/f.u.. Number 2: magnetization 0.0 μB/f.u.. Number 3: magnetization 0.0 μB/f.u..